Entry 1:
Material: MgAs2Os
Method: DFT, PBE-GGA
State: relaxed

Unit cell a=7.096 b=7.096 c=7.096 alpha=131.68 beta=131.68 gamma=70.73
Atoms (fractional coordinates):
Mg: 0.000 0.000 0.000
Mg: 0.750 0.250 0.500
As: 0.170 0.625 0.045
As: 0.375 0.420 0.545
As: 0.580 0.125 0.955
As: 0.875 0.830 0.455
Os: 0.250 0.750 0.500
Os: 0.500 0.500 0.000

excess energy over the best structure of this formula in the dataset: 80.1 kJ/mol of formula units
energy relative to the elements: 0.124 eV/atom
E: -43.25 eV/cell

Entry 2:
Material: Mg3AsOs
Method: DFT, PBE-GGA
State: relaxed

Unit cell a=4.944 b=4.944 c=4.944 alpha=90.00 beta=90.00 gamma=90.00
Atoms (fractional coordinates):
Mg: 0.000 0.000 0.500
Mg: 0.000 0.500 0.000
Mg: 0.500 0.000 0.000
As: 0.500 0.500 0.500
Os: 0.000 0.000 0.000

excess energy over the best structure of this formula in the dataset: 0.0 kJ/mol of formula units
energy relative to the elements: 0.688 eV/atom
E: -17.22 eV/cell

Entry 3:
Material: MgAs2Os
Method: DFT, PBE-GGA
State: relaxed

Unit cell a=4.534 b=4.534 c=3.263 alpha=90.00 beta=90.00 gamma=102.44
Atoms (fractional coordinates):
Mg: 0.000 0.000 0.000
As: 0.000 0.500 0.500
As: 0.500 0.000 0.500
Os: 0.500 0.500 0.000

excess energy over the best structure of this formula in the dataset: 119.9 kJ/mol of formula units
energy relative to the elements: 0.227 eV/atom
E: -21.22 eV/cell

Entry 4:
Material: MgAsOs3
Method: DFT, PBE-GGA
State: relaxed

Unit cell a=4.541 b=4.541 c=4.541 alpha=90.00 beta=90.00 gamma=90.00
Atoms (fractional coordinates):
Mg: 0.000 0.000 0.000
As: 0.500 0.500 0.500
Os: 0.000 0.500 0.500
Os: 0.500 0.000 0.500
Os: 0.500 0.500 0.000

excess energy over the best structure of this formula in the dataset: 0.0 kJ/mol of formula units
energy relative to the elements: 1.279 eV/atom
E: -33.54 eV/cell

Entry 5:
Material: MgAs2Os
Method: DFT, PBE-GGA
State: relaxed

Unit cell a=3.026 b=3.026 c=8.056 alpha=90.00 beta=90.00 gamma=90.00
Atoms (fractional coordinates):
Mg: 0.000 0.000 0.000
As: 0.000 0.000 0.394
As: 0.500 0.500 0.750
Os: 0.500 0.500 0.230

excess energy over the best structure of this formula in the dataset: 39.2 kJ/mol of formula units
energy relative to the elements: 0.018 eV/atom
E: -22.05 eV/cell

Entry 6:
Material: Mg2AsOsRu
Method: DFT, PBE-GGA
State: relaxed

Unit cell a=4.858 b=4.858 c=4.516 alpha=90.00 beta=90.00 gamma=90.00
Atoms (fractional coordinates):
Mg: 0.000 0.500 0.000
Mg: 0.500 0.000 0.000
As: 0.000 0.000 0.500
Os: 0.500 0.500 0.500
Ru: 0.000 0.000 0.000

energy relative to the elements: 1.006 eV/atom
E: -23.31 eV/cell

Entry 7:
Material: MgAs2OsS
Method: DFT, PBE-GGA
State: relaxed

Unit cell a=4.971 b=4.971 c=4.272 alpha=90.00 beta=90.00 gamma=90.00
Atoms (fractional coordinates):
Mg: 0.000 0.000 0.000
As: 0.000 0.500 0.500
As: 0.500 0.000 0.500
Os: 0.500 0.500 0.000
S: 0.500 0.500 0.500

E: -22.09 eV/cell
formation energy without anion corrections: 4.163 eV per formula unit

Entry 8:
Material: MgAsOsSe2
Method: DFT, PBE-GGA
State: relaxed

Unit cell a=5.130 b=5.130 c=4.602 alpha=90.00 beta=90.00 gamma=90.00
Atoms (fractional coordinates):
Mg: 0.000 0.000 0.000
As: 0.500 0.500 0.000
Os: 0.500 0.500 0.500
Se: 0.000 0.500 0.500
Se: 0.500 0.000 0.500

excess energy over the best structure of this formula in the dataset: 0.0 kJ/mol of formula units
E: -22.39 eV/cell
formation energy without anion corrections: 2.054 eV per formula unit

Entry 9:
Material: MgTeAsOs2
Method: DFT, PBE-GGA
State: relaxed

Unit cell a=4.624 b=4.624 c=4.878 alpha=90.00 beta=90.00 gamma=90.00
Atoms (fractional coordinates):
Mg: 0.000 0.000 0.000
Te: 0.500 0.500 0.000
As: 0.000 0.000 0.500
Os: 0.000 0.500 0.500
Os: 0.500 0.000 0.500

E: -26.61 eV/cell
formation energy without anion corrections: 5.237 eV per formula unit

Entry 10:
Material: Mg2AsOsW
Method: DFT, PBE-GGA
State: relaxed

Unit cell a=4.791 b=4.791 c=4.517 alpha=90.00 beta=90.00 gamma=90.00
Atoms (fractional coordinates):
Mg: 0.000 0.500 0.000
Mg: 0.500 0.000 0.000
As: 0.000 0.000 0.000
Os: 0.000 0.000 0.500
W: 0.500 0.500 0.500

energy relative to the elements: 1.326 eV/atom
E: -25.39 eV/cell

Entry 11:
Material: MgAs2P
Method: DFT, PBE-GGA
State: relaxed

Unit cell a=4.616 b=4.616 c=3.397 alpha=90.00 beta=90.00 gamma=90.00
Atoms (fractional coordinates):
Mg: 0.000 0.000 0.000
As: 0.000 0.500 0.500
As: 0.500 0.000 0.500
P: 0.500 0.500 0.000

excess energy over the best structure of this formula in the dataset: 133.4 kJ/mol of formula units
energy relative to the elements: 0.189 eV/atom
E: -15.55 eV/cell

Entry 12:
Material: MgAsP2
Method: DFT, PBE-GGA
State: relaxed

Unit cell a=5.370 b=5.370 c=5.370 alpha=142.70 beta=131.96 gamma=62.35
Atoms (fractional coordinates):
Mg: 0.000 0.000 0.000
As: 0.500 0.500 0.000
P: 0.286 0.786 0.500
P: 0.714 0.214 0.500

excess energy over the best structure of this formula in the dataset: 129.5 kJ/mol of formula units
energy relative to the elements: 0.180 eV/atom
E: -16.34 eV/cell

Entry 13:
Material: Mg2AsP
Method: DFT, PBE-GGA
State: relaxed

Unit cell a=3.195 b=3.697 c=6.386 alpha=90.00 beta=99.85 gamma=90.00
Atoms (fractional coordinates):
Mg: 0.022 0.000 0.262
Mg: 0.978 0.000 0.738
As: 0.500 0.500 0.000
P: 0.500 0.500 0.500

excess energy over the best structure of this formula in the dataset: 47.0 kJ/mol of formula units
energy relative to the elements: -0.203 eV/atom
E: -14.06 eV/cell

Entry 14:
Material: Mg4AsP2
Method: DFT, PBE-GGA
State: relaxed

Unit cell a=7.693 b=7.693 c=7.693 alpha=119.30 beta=119.30 gamma=91.21
Atoms (fractional coordinates):
Mg: 0.258 0.286 0.528
Mg: 0.258 0.730 0.972
Mg: 0.270 0.742 0.528
Mg: 0.286 0.258 0.028
Mg: 0.714 0.742 0.972
Mg: 0.730 0.258 0.472
Mg: 0.742 0.270 0.028
Mg: 0.742 0.714 0.472
As: 0.125 0.875 0.250
As: 0.875 0.125 0.750
P: 0.000 0.500 0.500
P: 0.500 0.000 0.000
P: 0.500 0.500 0.000
P: 0.500 0.500 0.500

energy relative to the elements: -0.477 eV/atom
E: -50.38 eV/cell

Entry 15:
Material: Mg2AsP
Method: DFT, PBE-GGA
State: relaxed

Unit cell a=3.174 b=3.174 c=7.450 alpha=90.00 beta=90.00 gamma=98.24
Atoms (fractional coordinates):
Mg: 0.000 0.000 0.231
Mg: 0.000 0.000 0.769
As: 0.500 0.500 0.500
P: 0.500 0.500 0.000

excess energy over the best structure of this formula in the dataset: 47.6 kJ/mol of formula units
energy relative to the elements: -0.202 eV/atom
E: -14.05 eV/cell

Entry 16:
Material: Mg2AsP
Method: DFT, PBE-GGA
State: relaxed

Unit cell a=7.552 b=7.552 c=7.552 alpha=27.07 beta=27.07 gamma=27.07
Atoms (fractional coordinates):
Mg: 0.241 0.241 0.241
Mg: 0.759 0.759 0.759
As: 0.000 0.000 0.000
P: 0.500 0.500 0.500

excess energy over the best structure of this formula in the dataset: 4.6 kJ/mol of formula units
energy relative to the elements: -0.313 eV/atom
E: -14.50 eV/cell

Entry 17:
Material: MgAsP2
Method: DFT, PBE-GGA
State: relaxed

Unit cell a=6.052 b=6.052 c=4.060 alpha=109.50 beta=109.50 gamma=33.59
Atoms (fractional coordinates):
Mg: 0.000 0.000 0.000
As: 0.729 0.729 0.762
P: 0.260 0.260 0.176
P: 0.474 0.474 0.473

excess energy over the best structure of this formula in the dataset: 20.6 kJ/mol of formula units
energy relative to the elements: -0.102 eV/atom
E: -17.47 eV/cell

Entry 18:
Material: Mg2AsP
Method: DFT, PBE-GGA
State: relaxed

Unit cell a=4.605 b=4.605 c=3.578 alpha=93.72 beta=93.72 gamma=101.80
Atoms (fractional coordinates):
Mg: 0.000 0.500 0.000
Mg: 0.500 0.000 0.000
As: 0.000 0.000 0.500
P: 0.500 0.500 0.500

excess energy over the best structure of this formula in the dataset: 44.7 kJ/mol of formula units
energy relative to the elements: -0.209 eV/atom
E: -14.08 eV/cell

Entry 19:
Material: Mg2AsP
Method: DFT, PBE-GGA
State: relaxed

Unit cell a=4.904 b=4.904 c=4.904 alpha=130.99 beta=119.87 gamma=81.14
Atoms (fractional coordinates):
Mg: 0.240 0.240 0.000
Mg: 0.760 0.760 0.000
As: 0.500 0.000 0.500
P: 0.000 0.500 0.500

excess energy over the best structure of this formula in the dataset: 49.2 kJ/mol of formula units
energy relative to the elements: -0.198 eV/atom
E: -14.04 eV/cell

Entry 20:
Material: MgAsP2
Method: DFT, PBE-GGA
State: relaxed

Unit cell a=4.543 b=4.543 c=3.299 alpha=90.00 beta=90.00 gamma=90.00
Atoms (fractional coordinates):
Mg: 0.000 0.000 0.000
As: 0.500 0.500 0.000
P: 0.000 0.500 0.500
P: 0.500 0.000 0.500

excess energy over the best structure of this formula in the dataset: 144.6 kJ/mol of formula units
energy relative to the elements: 0.219 eV/atom
E: -16.19 eV/cell

Entry 21:
Material: MgAsP2
Method: DFT, PBE-GGA
State: relaxed

Unit cell a=3.503 b=3.549 c=6.083 alpha=90.00 beta=90.00 gamma=90.00
Atoms (fractional coordinates):
Mg: 0.000 0.000 0.000
As: 0.500 0.000 0.500
P: 0.500 0.500 0.193
P: 0.500 0.500 0.807

excess energy over the best structure of this formula in the dataset: 90.4 kJ/mol of formula units
energy relative to the elements: 0.079 eV/atom
E: -16.75 eV/cell

Entry 22:
Material: MgAsP2
Method: DFT, PBE-GGA
State: relaxed

Unit cell a=5.351 b=5.351 c=5.351 alpha=143.77 beta=130.17 gamma=63.14
Atoms (fractional coordinates):
Mg: 0.000 0.000 0.000
As: 0.704 0.204 0.500
P: 0.290 0.790 0.500
P: 0.479 0.479 0.000

excess energy over the best structure of this formula in the dataset: 89.7 kJ/mol of formula units
energy relative to the elements: 0.077 eV/atom
E: -16.75 eV/cell

Entry 23:
Material: Mg2AsP
Method: DFT, PBE-GGA
State: relaxed

Unit cell a=3.840 b=3.840 c=5.441 alpha=90.00 beta=90.00 gamma=90.00
Atoms (fractional coordinates):
Mg: 0.000 0.000 0.000
Mg: 0.500 0.500 0.498
As: 0.000 0.000 0.501
P: 0.500 0.500 0.999

excess energy over the best structure of this formula in the dataset: 34.8 kJ/mol of formula units
energy relative to the elements: -0.235 eV/atom
E: -14.19 eV/cell

Entry 24:
Material: Mg2AsP
Method: DFT, PBE-GGA
State: relaxed

Unit cell a=4.728 b=4.728 c=4.728 alpha=60.00 beta=60.00 gamma=60.00
Atoms (fractional coordinates):
Mg: 0.000 0.000 0.000
Mg: 0.250 0.250 0.250
As: 0.500 0.500 0.500
P: 0.750 0.750 0.750

excess energy over the best structure of this formula in the dataset: 183.3 kJ/mol of formula units
energy relative to the elements: 0.150 eV/atom
E: -12.65 eV/cell

Entry 25:
Material: Mg2AsP
Method: DFT, PBE-GGA
State: relaxed

Unit cell a=5.933 b=5.933 c=5.933 alpha=104.70 beta=104.70 gamma=119.50
Atoms (fractional coordinates):
Mg: 0.104 0.125 0.479
Mg: 0.375 0.896 0.021
Mg: 0.646 0.625 0.521
Mg: 0.875 0.354 0.979
As: 0.250 0.750 0.500
As: 0.500 0.500 0.000
P: 0.000 0.000 0.000
P: 0.750 0.250 0.500

excess energy over the best structure of this formula in the dataset: 39.9 kJ/mol of formula units
energy relative to the elements: -0.221 eV/atom
E: -28.27 eV/cell

Entry 26:
Material: MgAsP2
Method: DFT, PBE-GGA
State: relaxed

Unit cell a=4.616 b=4.616 c=4.616 alpha=60.00 beta=60.00 gamma=60.00
Atoms (fractional coordinates):
Mg: 0.000 0.000 0.000
As: 0.500 0.500 0.500
P: 0.250 0.250 0.250
P: 0.750 0.750 0.750

excess energy over the best structure of this formula in the dataset: 175.6 kJ/mol of formula units
energy relative to the elements: 0.300 eV/atom
E: -15.87 eV/cell

Entry 27:
Material: MgAsP2
Method: DFT, PBE-GGA
State: relaxed

Unit cell a=9.294 b=9.294 c=9.294 alpha=18.22 beta=18.22 gamma=18.22
Atoms (fractional coordinates):
Mg: 0.000 0.000 0.000
As: 0.500 0.500 0.500
P: 0.256 0.256 0.256
P: 0.744 0.744 0.744

excess energy over the best structure of this formula in the dataset: 206.1 kJ/mol of formula units
energy relative to the elements: 0.379 eV/atom
E: -15.55 eV/cell

Entry 28:
Material: Mg3AsP
Method: DFT, PBE-GGA
State: relaxed

Unit cell a=4.802 b=4.802 c=4.802 alpha=90.00 beta=90.00 gamma=90.00
Atoms (fractional coordinates):
Mg: 0.000 0.000 0.500
Mg: 0.000 0.500 0.000
Mg: 0.500 0.000 0.000
As: 0.500 0.500 0.500
P: 0.000 0.000 0.000

excess energy over the best structure of this formula in the dataset: 141.3 kJ/mol of formula units
energy relative to the elements: -0.284 eV/atom
E: -16.26 eV/cell

Entry 29:
Material: MgAs2P
Method: DFT, PBE-GGA
State: relaxed

Unit cell a=3.650 b=3.650 c=6.290 alpha=90.00 beta=90.00 gamma=90.00
Atoms (fractional coordinates):
Mg: 0.000 0.000 0.000
As: 0.000 0.000 0.571
As: 0.500 0.500 0.118
P: 0.500 0.500 0.484

excess energy over the best structure of this formula in the dataset: 22.9 kJ/mol of formula units
energy relative to the elements: -0.097 eV/atom
E: -16.69 eV/cell